1.
Compound: Cr2In
Source: Alexandria
Functional: PBE
Structure: optimized geometry

Computed properties:
**Mass density**: 7.010 Mg/m³
**V**: 17.28 Å³ per atom
**Formation enthalpy at 0 K**: 10.87 kcal/mol of atoms

Unit cell a=7.7748 b=7.7748 c=2.9702 alpha=90.00 beta=90.00 gamma=120.00
Space group P-62m (No. 189)
Asymmetric unit:
Cr1 0.0000 0.3037 0.0000 x3
Cr2 0.0000 0.6374 0.5000 x3
In1 0.0000 0.0000 0.5000 x1
In2 0.3333 0.6667 0.0000 x2

2.
Compound: CrIn2
Source: Alexandria
Functional: PBE
Structure: optimized geometry

Computed properties:
**Mass density**: 7.768 Mg/m³
**V**: 20.07 Å³ per atom
**Formation enthalpy at 0 K**: 8.19 kcal/mol of atoms

Unit cell a=2.979 b=6.089 c=13.278 alpha=90.00 beta=90.00 gamma=90.00
Space group Immm (No. 71)
Asymmetric unit:
Cr1 0.000 0.168 0.000 x4
In1 0.000 0.000 0.381 x4
In2 0.000 0.500 0.332 x4

Sequential DFT total energy output: -0.50399 -0.34385 Ry/atom